Crystalline MgFe2Tc at its relaxed geometry, computed with PBE.

abc: 2.838 4.376 8.765
angles: 90.00 90.00 90.00
Positions (direct):
Mg 0.000 0.000 0.000
Mg 0.500 0.500 0.500
Fe 0.000 0.000 0.511
Fe 0.000 0.500 0.234
Fe 0.500 0.000 0.734
Fe 0.500 0.500 0.011
Tc 0.000 0.500 0.775
Tc 0.500 0.000 0.275

- crystal system = orthorhombic
- total magnetization (μB/cell) = 8.117
- calculated total energy (eV per atom) = -7.012

=====

Crystalline MgFe2Tc2 at its relaxed geometry, computed with PBE.

abc: 7.345 7.345 2.620
angles: 90.00 90.00 90.00
Positions (direct):
Mg 0.000 0.000 0.000
Mg 0.500 0.500 0.000
Fe 0.167 0.333 0.500
Fe 0.333 0.833 0.500
Fe 0.667 0.167 0.500
Fe 0.833 0.667 0.500
Tc 0.125 0.625 0.000
Tc 0.375 0.125 0.000
Tc 0.625 0.875 0.000
Tc 0.875 0.375 0.000

- crystal system = tetragonal
- total magnetization (μB/cell) = 2.339
- calculated total energy (eV per atom) = -7.631
- excess energy over the best structure of this formula in the dataset (eV/f.u.) = 0.31

=====

Crystalline MgFe2Tc at its relaxed geometry, computed with PBE.

abc: 2.834 2.834 6.999
angles: 90.00 90.00 90.00
Positions (direct):
Mg 0.000 0.000 0.000
Fe 0.000 0.000 0.517
Fe 0.500 0.500 0.722
Tc 0.500 0.500 0.298

- crystal system = tetragonal
- total magnetization (μB/cell) = 4.624
- calculated total energy (eV per atom) = -7.042

=====

Crystalline Mg3FeTc at its relaxed geometry, computed with PBE.

abc: 4.712 4.712 4.712
angles: 90.00 90.00 90.00
Positions (direct):
Mg 0.000 0.000 0.500
Mg 0.000 0.500 0.000
Mg 0.500 0.000 0.000
Fe 0.000 0.000 0.000
Tc 0.500 0.500 0.500

- crystal system = cubic
- total magnetization (μB/cell) = 4.555
- calculated total energy (eV per atom) = -3.630
- excess energy over the best structure of this formula in the dataset (eV/f.u.) = 0.00

=====

Crystalline MgFe2Tc at its relaxed geometry, computed with PBE.

abc: 2.588 4.260 5.049
angles: 90.00 99.17 90.00
Positions (direct):
Mg 0.000 0.000 0.000
Fe 0.289 0.500 0.762
Fe 0.472 0.000 0.510
Tc 0.727 0.500 0.289

- crystal system = monoclinic
- total magnetization (μB/cell) = 4.695
- calculated total energy (eV per atom) = -7.007

=====

Crystalline MgFe2Tc at its relaxed geometry, computed with PBE.

abc: 5.962 5.962 5.962
angles: 90.00 90.00 90.00
Positions (direct):
Mg 0.000 0.000 0.000
Mg 0.000 0.500 0.500
Mg 0.500 0.000 0.500
Mg 0.500 0.500 0.000
Fe 0.000 0.000 0.500
Fe 0.000 0.500 0.000
Fe 0.250 0.250 0.250
Fe 0.250 0.750 0.750
Fe 0.500 0.000 0.000
Fe 0.500 0.500 0.500
Fe 0.750 0.250 0.750
Fe 0.750 0.750 0.250
Tc 0.250 0.250 0.750
Tc 0.250 0.750 0.250
Tc 0.750 0.250 0.250
Tc 0.750 0.750 0.750

- crystal system = cubic
- total magnetization (μB/cell) = 12.318
- calculated total energy (eV per atom) = -6.920

=====

Crystalline MgFe2Tc at its relaxed geometry, computed with PBE.

abc: 5.274 8.497 2.561
angles: 90.00 105.69 90.00
Positions (direct):
Mg 0.000 0.000 0.000
Mg 0.500 0.500 0.000
Fe 0.250 0.250 0.500
Fe 0.250 0.750 0.500
Fe 0.750 0.250 0.500
Fe 0.750 0.750 0.500
Tc 0.000 0.500 0.000
Tc 0.500 0.000 0.000

- crystal system = monoclinic
- total magnetization (μB/cell) = 10.422
- calculated total energy (eV per atom) = -6.985

=====

Crystalline MgFe2Tc at its relaxed geometry, computed with PBE.

abc: 2.689 3.799 5.442
angles: 90.00 90.00 90.00
Positions (direct):
Mg 0.000 0.000 0.000
Fe 0.500 0.500 0.278
Fe 0.500 0.500 0.722
Tc 0.000 0.000 0.500

- crystal system = orthorhombic
- total magnetization (μB/cell) = 3.986
- calculated total energy (eV per atom) = -6.983